An optimized crystal structure of LiZr2TiBe, computed with PBEsol.

Lattice parameters (Å, degrees): 4.310 4.543 4.543 90.00 90.00 90.00
Element x y z (fractional)
Be1 0.500 0.500 0.500
Li1 0.000 0.000 0.000
Zr1 0.000 0.000 0.500
Zr2 0.000 0.500 0.000
Ti1 0.500 0.000 0.000

The calculation puts the formation energy from the elements at 983 meV per atom. For the density, the calculation gives 4.60 g/cm3. As for the size of the total moment: 0.00 μB/f.u. The calculation puts the total energy at -5.511 eV per atom.

***

An optimized crystal structure of LiBe2Tl, computed with PBEsol.

Lattice parameters (Å, degrees): 4.181 4.181 9.039 103.37 103.37 90.00
Element x y z (fractional)
Be1 0.625 0.875 0.750
Be2 0.125 0.875 0.750
Be3 0.125 0.875 0.250
Be4 0.125 0.375 0.250
Tl1 0.000 0.000 0.000
Tl2 0.250 0.750 0.500
Li1 0.500 0.500 0.000
Li2 0.750 0.250 0.500

The energy above the most stable polymorph in this dataset comes out at 261.9 meV/atom. The calculation puts the formation energy from the elements at 570 meV per atom. For the density, the calculation gives 5.10 g/cm3. As for the size of the total moment: 0.00 μB/f.u. The calculation puts the total energy at -2.579 eV per atom.

***

An optimized crystal structure of LiBe2Tl, computed with PBEsol.

Lattice parameters (Å, degrees): 2.973 2.973 6.556 90.00 90.00 90.00
Element x y z (fractional)
Be1 0.000 0.000 0.919
Be2 0.500 0.500 0.805
Tl1 0.500 0.500 0.231
Li1 0.000 0.000 0.546

The energy above the most stable polymorph in this dataset comes out at 0.0 meV/atom. The calculation puts the formation energy from the elements at 308 meV per atom. For the density, the calculation gives 6.57 g/cm3. As for the size of the total moment: 0.00 μB/f.u. The calculation puts the total energy at -2.841 eV per atom.

***

An optimized crystal structure of LiBeTl2, computed with PBEsol.

Lattice parameters (Å, degrees): 4.767 4.712 4.767 59.61 90.00 120.39
Element x y z (fractional)
Be1 0.500 0.000 0.500
Li1 0.000 0.000 0.000
Tl1 0.250 0.500 0.250
Tl2 0.750 0.500 0.750

The energy above the most stable polymorph in this dataset comes out at 0.0 meV/atom. The calculation puts the formation energy from the elements at 201 meV per atom. For the density, the calculation gives 9.42 g/cm3. As for the size of the total moment: 0.00 μB/f.u. The calculation puts the total energy at -2.605 eV per atom.

***

Respective DOS(E_F) values: 4.330, 1.664, 0.930, 1.404 states/eV/f.u..